(1)
Crystalline Ac5LaPb4 at its relaxed geometry. Source: the Alexandria database, functional PBE-GGA.

```
10
Lattice="3.950 0.000 0.000 0.000 3.950 0.000 0.000 0.000 23.754" Properties=species:S:1:pos:R:3 pbc="T T T"
Ac 0.000 0.000 0.000
Ac 0.000 0.000 4.585
Ac 0.000 0.000 9.172
Ac 0.000 0.000 14.582
Ac 0.000 0.000 19.169
La 1.975 1.975 11.877
Pb 1.975 1.975 2.300
Pb 1.975 1.975 6.888
Pb 1.975 1.975 16.866
Pb 1.975 1.975 21.454
```

Summary:
V	37.06	A^3/atom
energy	-4.396	eV per atom
ΔE_f	-0.365	eV per atom

***

(2)
Crystalline Ho2TmTe5 at its relaxed geometry. Source: the Alexandria database, functional PBE-GGA.

```
16
Lattice="3.053 -7.396 0.000 3.053 7.396 0.000 0.000 0.000 13.413" Properties=species:S:1:pos:R:3 pbc="T T T"
Ho 3.053 5.009 7.511
Ho 3.053 5.009 12.609
Ho 3.053 -5.009 0.805
Ho 3.053 -5.009 5.902
Tm 3.053 4.402 3.353
Tm 3.053 -4.402 10.060
Te 3.053 6.899 1.662
Te 3.053 6.899 5.044
Te 3.053 3.330 10.060
Te 3.053 2.537 0.980
Te 3.053 2.537 5.726
Te 3.053 -2.537 7.687
Te 3.053 -2.537 12.433
Te 3.053 -3.330 3.353
Te 3.053 -6.899 8.369
Te 3.053 -6.899 11.751
```

Summary:
V	37.86	A^3/atom
E_form (uncorrected)	-1191	meV/atom
energy	-4.858	eV per atom

***

(3)
Crystalline Li2LaC at its relaxed geometry. Source: the Alexandria database, functional PBE-GGA.

```
8
Lattice="-1.880 1.880 10.616 1.880 -1.880 10.616 1.880 1.880 -10.616" Properties=species:S:1:pos:R:3 pbc="T T T"
Li 0.940 0.742 -2.654
Li 1.138 -0.940 13.269
Li 0.940 1.138 7.962
Li 0.742 2.820 2.654
La 1.880 0.000 5.308
La 0.000 0.000 10.616
C 0.000 0.000 0.000
C 0.000 1.880 5.308
```

Summary:
V	18.76	A^3/atom
energy	-4.001	eV per atom
ΔE_f	0.493	eV per atom